In2RuW: optimized geometry, PBE.

Cell and atoms, written as POSCAR:
```
In2RuW
1.0
4.0865 0.0000 0.0000
0.0000 4.0865 0.0000
0.0000 0.0000 8.5802
In Ru W
4 2 2
Cartesian
0.0000 2.0432 2.1450
0.0000 2.0432 6.4351
2.0432 0.0000 2.1450
2.0432 0.0000 6.4351
0.0000 0.0000 0.0000
2.0432 2.0432 4.2901
0.0000 0.0000 4.2901
2.0432 2.0432 0.0000
```

Formation enthalpy at 0 K = 2.49 eV/f.u.
Magnetic moment = 0.000 μB per cell
Crystal system = tetragonal
DFT total energy = -6.30 eV/atom